Entry 1:
First-principles (GGA-PBE) data for a relaxed NiC crystal, as listed in Alexandria via LeMat-Bulk.

Density in g/cm3: 7.06
Calculated formation energy in eV per formula unit: 1.3

Unit cell a=3.785 b=6.982 c=2.517 alpha=90.00 beta=90.00 gamma=90.00
Fractional positions:
1 Ni 0.000 0.170 0.250
2 Ni 0.000 0.830 0.750
3 Ni 0.500 0.330 0.750
4 Ni 0.500 0.670 0.250
5 C 0.000 0.446 0.250
6 C 0.000 0.554 0.750
7 C 0.500 0.054 0.750
8 C 0.500 0.946 0.250

Entry 2:
First-principles (GGA-PBE) data for a relaxed WC2 crystal, as listed in Alexandria via LeMat-Bulk.

Density in g/cm3: 10.89
Calculated formation energy in eV per formula unit: 4.0

Unit cell a=5.024 b=5.024 c=5.024 alpha=90.00 beta=90.00 gamma=90.00
Fractional positions:
1 W 0.000 0.000 0.000
2 W 0.000 0.500 0.500
3 W 0.500 0.000 0.500
4 W 0.500 0.500 0.000
5 C 0.083 0.583 0.917
6 C 0.083 0.917 0.417
7 C 0.417 0.083 0.917
8 C 0.417 0.417 0.417
9 C 0.583 0.583 0.583
10 C 0.583 0.917 0.083
11 C 0.917 0.083 0.583
12 C 0.917 0.417 0.083

Entry 3:
First-principles (GGA-PBE) data for a relaxed SmDyAl2 crystal, as listed in Alexandria via LeMat-Bulk.

Density in g/cm3: 6.30
Calculated formation energy in eV per formula unit: -1.5

Unit cell a=7.286 b=7.286 c=7.286 alpha=90.00 beta=90.00 gamma=90.00
Fractional positions:
1 Sm 0.000 0.000 0.000
2 Sm 0.000 0.500 0.500
3 Sm 0.500 0.000 0.500
4 Sm 0.500 0.500 0.000
5 Dy 0.000 0.000 0.500
6 Dy 0.000 0.500 0.000
7 Dy 0.500 0.000 0.000
8 Dy 0.500 0.500 0.500
9 Al 0.250 0.250 0.250
10 Al 0.250 0.250 0.750
11 Al 0.250 0.750 0.250
12 Al 0.250 0.750 0.750
13 Al 0.750 0.250 0.250
14 Al 0.750 0.250 0.750
15 Al 0.750 0.750 0.250
16 Al 0.750 0.750 0.750

Entry 4:
First-principles (GGA-PBE) data for a relaxed MnRhN crystal, as listed in Alexandria via LeMat-Bulk.

Density in g/cm3: 8.05
Formation energy from raw total energies in meV/atom: 224.7

Unit cell a=2.788 b=3.731 c=6.814 alpha=90.00 beta=90.00 gamma=90.00
Fractional positions:
1 Mn 0.250 0.250 0.082
2 Mn 0.750 0.750 0.918
3 Rh 0.250 0.750 0.577
4 Rh 0.750 0.250 0.423
5 N 0.250 0.750 0.113
6 N 0.750 0.250 0.887

Entry 5:
First-principles (GGA-PBE) data for a relaxed Be2NiBr crystal, as listed in Alexandria via LeMat-Bulk.

Density in g/cm3: 4.12
Formation energy from raw total energies in meV/atom: 63.7

Unit cell a=6.193 b=3.586 c=6.058 alpha=90.00 beta=110.13 gamma=90.00
Fractional positions:
1 Be 0.000 0.000 0.000
2 Be 0.129 0.500 0.889
3 Be 0.500 0.500 0.000
4 Be 0.629 0.000 0.889
5 Ni 0.366 0.000 0.097
6 Ni 0.866 0.500 0.097
7 Br 0.008 0.500 0.516
8 Br 0.508 0.000 0.516

Entry 6:
First-principles (GGA-PBE) data for a relaxed TlTcPbO2 crystal, as listed in Alexandria via LeMat-Bulk.

Density in g/cm3: 7.70
Formation energy from raw total energies in meV/atom: 674.0

Unit cell a=4.160 b=4.160 c=6.749 alpha=90.00 beta=90.00 gamma=90.00
Fractional positions:
1 Tl 0.000 0.000 0.000
2 Tc 0.500 0.500 0.000
3 Pb 0.000 0.000 0.500
4 O 0.000 0.500 0.500
5 O 0.500 0.000 0.500

Entry 7:
First-principles (GGA-PBE) data for a relaxed LaCe2HgC crystal, as listed in Alexandria via LeMat-Bulk.

Density in g/cm3: 8.18
Calculated formation energy in eV per formula unit: -1.1

Unit cell a=4.945 b=4.945 c=5.244 alpha=90.00 beta=90.00 gamma=90.00
Fractional positions:
1 La 0.000 0.000 0.000
2 Ce 0.000 0.500 0.500
3 Ce 0.500 0.000 0.500
4 Hg 0.500 0.500 0.000
5 C 0.000 0.000 0.500

Entry 8:
First-principles (GGA-PBE) data for a relaxed NdBeIn crystal, as listed in Alexandria via LeMat-Bulk.

Density in g/cm3: 6.17
Calculated formation energy in eV per formula unit: 0.8

Unit cell a=3.381 b=22.159 c=3.851 alpha=90.00 beta=90.00 gamma=90.00
Fractional positions:
1 Nd 0.000 0.187 0.250
2 Nd 0.000 0.813 0.750
3 Nd 0.500 0.313 0.750
4 Nd 0.500 0.687 0.250
5 Be 0.000 0.471 0.750
6 Be 0.000 0.529 0.250
7 Be 0.500 0.029 0.250
8 Be 0.500 0.971 0.750
9 In 0.000 0.069 0.750
10 In 0.000 0.931 0.250
11 In 0.500 0.431 0.250
12 In 0.500 0.569 0.750